Material: CuTc2MoH
Method: DFT, PBE
State: optimized geometry

Structure (CIF):
```
data_CuTc2MoH
_chemical_formula_sum 'Cu1 Tc2 Mo1 H1'
_space_group_name_H-M_alt 'P 4/m m m'
_space_group_IT_number 123
_space_group_name_Hall '-P 4 2'
_cell_length_a 3.909
_cell_length_b 3.909
_cell_length_c 3.900
_cell_angle_alpha 90.00
_cell_angle_beta 90.00
_cell_angle_gamma 90.00
loop_
_atom_site_label
_atom_site_type_symbol
_atom_site_fract_x
_atom_site_fract_y
_atom_site_fract_z
Cu1 Cu 0.000 0.000 0.000
Tc1 Tc 0.000 0.500 0.500
Mo1 Mo 0.500 0.500 0.000
H1 H 0.500 0.500 0.500
```

Values from the calculation:
**DFT total energy**: -7.614 eV per atom


Material: Sm3YBi4
Method: DFT, PBE
State: optimized geometry

Structure (CIF):
```
data_Sm3YBi4
_chemical_formula_sum 'Sm3 Y1 Bi4'
_space_group_name_H-M_alt 'P m -3 m'
_space_group_IT_number 221
_space_group_name_Hall '-P 4 2 3'
_cell_length_a 6.418
_cell_length_b 6.418
_cell_length_c 6.418
_cell_angle_alpha 90.00
_cell_angle_beta 90.00
_cell_angle_gamma 90.00
loop_
_atom_site_label
_atom_site_type_symbol
_atom_site_fract_x
_atom_site_fract_y
_atom_site_fract_z
Sm1 Sm 0.000 0.000 0.500
Y1 Y 0.500 0.500 0.500
Bi1 Bi 0.000 0.000 0.000
Bi2 Bi 0.000 0.500 0.500
```

Values from the calculation:
**DFT total energy**: -5.440 eV per atom


Material: La2Pm7Tl2
Method: DFT, PBE
State: optimized geometry

Structure (CIF):
```
data_La2Pm7Tl2
_chemical_formula_sum 'La4 Pm14 Tl4'
_space_group_name_H-M_alt 'I m m 2'
_space_group_IT_number 44
_cell_length_a 5.289
_cell_length_b 15.874
_cell_length_c 8.761
_cell_angle_alpha 90.00
_cell_angle_beta 90.00
_cell_angle_gamma 90.00
loop_
_space_group_symop_operation_xyz
'x,y,z'
'-x,-y,z'
'-x,y,z'
'x,-y,z'
'x+1/2,y+1/2,z+1/2'
'-x+1/2,-y+1/2,z+1/2'
'-x+1/2,y+1/2,z+1/2'
'x+1/2,-y+1/2,z+1/2'
loop_
_atom_site_label
_atom_site_type_symbol
_atom_site_fract_x
_atom_site_fract_y
_atom_site_fract_z
La1 La 0.000 0.000 0.000
La2 La 0.000 0.500 0.193
Pm1 Pm 0.000 0.161 0.712
Pm2 Pm 0.000 0.162 0.279
Pm3 Pm 0.000 0.354 0.500
Pm4 Pm 0.000 0.500 0.808
Tl1 Tl 0.000 0.305 0.994
```

Values from the calculation:
**DFT total energy**: -4.419 eV per atom


Material: Ce3Al7Zn2
Method: DFT, PBE
State: optimized geometry

Structure (CIF):
```
data_Ce3Al7Zn2
_chemical_formula_sum 'Ce9 Al21 Zn6'
_space_group_name_H-M_alt 'R -3 m'
_space_group_IT_number 166
_space_group_name_Hall '-R 3 2"'
_cell_length_a 5.5995
_cell_length_b 5.5995
_cell_length_c 26.1900
_cell_angle_alpha 90.00
_cell_angle_beta 90.00
_cell_angle_gamma 120.00
loop_
_atom_site_label
_atom_site_type_symbol
_atom_site_fract_x
_atom_site_fract_y
_atom_site_fract_z
Ce1 Ce 0.0000 0.0000 0.0000
Ce2 Ce 0.0000 0.0000 0.1414
Al1 Al 0.0000 0.0000 0.5000
Al2 Al 0.0065 0.5033 0.9187
Zn1 Zn 0.0000 0.0000 0.3354
```

Values from the calculation:
**DFT total energy**: -4.270 eV per atom


Material: MgCoHg2
Method: DFT, PBE
State: optimized geometry

Structure (CIF):
```
data_MgCoHg2
_chemical_formula_sum 'Mg2 Co2 Hg4'
_space_group_name_H-M_alt 'C m m m'
_space_group_IT_number 65
_space_group_name_Hall '-C 2 2'
_cell_length_a 6.140
_cell_length_b 6.148
_cell_length_c 3.781
_cell_angle_alpha 90.00
_cell_angle_beta 90.00
_cell_angle_gamma 90.00
loop_
_atom_site_label
_atom_site_type_symbol
_atom_site_fract_x
_atom_site_fract_y
_atom_site_fract_z
Mg1 Mg 0.000 0.000 0.000
Co1 Co 0.000 0.500 0.000
Hg1 Hg 0.250 0.250 0.500
```

Values from the calculation:
**DFT total energy**: -2.151 eV per atom


Material: Pm4Tm3Sc
Method: DFT, PBE
State: optimized geometry

Structure (CIF):
```
data_Pm4Tm3Sc
_chemical_formula_sum 'Pm8 Tm6 Sc2'
_space_group_name_H-M_alt 'I m m m'
_space_group_IT_number 71
_space_group_name_Hall '-I 2 2'
_cell_length_a 3.468
_cell_length_b 11.436
_cell_length_c 12.821
_cell_angle_alpha 90.00
_cell_angle_beta 90.00
_cell_angle_gamma 90.00
loop_
_atom_site_label
_atom_site_type_symbol
_atom_site_fract_x
_atom_site_fract_y
_atom_site_fract_z
Pm1 Pm 0.000 0.244 0.132
Tm1 Tm 0.000 0.000 0.500
Tm2 Tm 0.000 0.500 0.263
Sc1 Sc 0.000 0.000 0.000
```

Values from the calculation:
**DFT total energy**: -4.714 eV per atom


Material: Ag3P
Method: DFT, PBE
State: optimized geometry

Structure (CIF):
```
data_Ag3P
_chemical_formula_sum 'Ag9 P3'
_space_group_name_H-M_alt 'R -3 m'
_space_group_IT_number 166
_space_group_name_Hall '-R 3 2"'
_cell_length_a 3.0019
_cell_length_b 3.0019
_cell_length_c 26.7354
_cell_angle_alpha 90.00
_cell_angle_beta 90.00
_cell_angle_gamma 120.00
loop_
_atom_site_label
_atom_site_type_symbol
_atom_site_fract_x
_atom_site_fract_y
_atom_site_fract_z
Ag1 Ag 0.0000 0.0000 0.0000
Ag2 Ag 0.0000 0.0000 0.2450
P1 P 0.0000 0.0000 0.5000
```

Values from the calculation:
**DFT total energy**: -3.251 eV per atom


Material: PmAlAu4
Method: DFT, PBE
State: optimized geometry

Structure (CIF):
```
data_PmAlAu4
_chemical_formula_sum 'Pm1 Al1 Au4'
_space_group_name_H-M_alt 'P -1'
_space_group_IT_number 2
_cell_length_a 3.617
_cell_length_b 3.765
_cell_length_c 9.011
_cell_angle_alpha 83.03
_cell_angle_beta 89.84
_cell_angle_gamma 89.95
loop_
_space_group_symop_operation_xyz
'x,y,z'
'-x,-y,-z'
loop_
_atom_site_label
_atom_site_type_symbol
_atom_site_fract_x
_atom_site_fract_y
_atom_site_fract_z
Pm1 Pm 0.000 0.000 0.000
Al1 Al 0.500 0.500 0.500
Au1 Au 0.001 0.093 0.647
Au2 Au 0.500 0.446 0.193
```

Values from the calculation:
**DFT total energy**: -4.083 eV per atom